1.
A geometry-optimized Dy3Mg2CdIn3 structure, computed with PBE.

## Properties
The total moment is 0.0 Bohr magnetons per cell. The value obtained for the uncorrected energy is -3.296 eV/atom.

The structure in extended XYZ format:
```
9
Lattice="4.673 0.000 0.000 0.000 6.523 3.732 0.000 -6.523 3.732" Properties=species:S:1:pos:R:3 pbc="T T T"
In 2.337 0.000 7.434
In 0.000 2.194 3.742
In 0.000 -2.194 3.742
Dy 2.337 2.832 1.623
Dy 2.337 -2.832 1.623
Dy 2.337 0.000 4.180
Mg 0.000 -4.950 2.846
Mg 0.000 4.950 2.846
Cd 0.000 0.000 1.820
```

***

2.
A geometry-optimized PrScO3 structure, computed with PBE.

## Properties
The total moment is 0.0 Bohr magnetons per cell. The value obtained for the uncorrected energy is -8.656 eV/atom.

The structure in extended XYZ format:
```
20
Lattice="-1.988 3.049 4.251 -4.696 -3.414 0.253 3.778 -4.811 5.217" Properties=species:S:1:pos:R:3 pbc="T T T"
Pr -1.635 -6.790 4.215
Pr -2.684 -1.527 3.633
Pr -0.222 -3.648 6.088
Pr -1.271 1.615 5.506
O 2.228 -4.617 5.824
O 1.446 -1.893 6.499
O -5.134 -0.559 3.897
O 0.763 -2.750 3.800
O -0.320 -6.016 6.379
O -1.474 -2.722 7.849
O -3.669 -2.425 5.921
O -1.120 -1.025 5.366
O -1.786 -4.150 4.355
O -2.586 0.841 3.342
O -4.352 -3.282 3.222
O -1.432 -2.453 1.872
Sc 0.895 -0.881 4.734
Sc -2.348 -1.707 0.126
Sc -0.459 -4.112 2.735
Sc -0.994 1.525 2.125
```

***

3.
A geometry-optimized Lu4Co3W2C3 structure, computed with PBE.

## Properties
The total moment is 5.4 Bohr magnetons per cell. The value obtained for the uncorrected energy is -7.606 eV/atom.

The structure in extended XYZ format:
```
24
Lattice="-4.073 -3.618 1.154 -1.423 -3.841 -3.773 7.983 -11.323 4.807" Properties=species:S:1:pos:R:3 pbc="T T T"
Co -1.659 -8.472 -1.591
Co 2.156 -12.131 4.310
Co 0.331 -6.651 -2.122
Co 1.431 -14.058 2.488
Co 1.056 -4.724 -0.300
Co 4.146 -10.310 3.779
C -2.930 -3.123 -0.014
C 1.955 -7.471 2.980
C -2.566 -4.335 -2.604
C 2.244 -8.883 0.189
C -0.712 -1.920 -1.886
C 0.243 -9.898 1.999
W -2.777 -5.070 -0.683
W 1.698 -10.773 0.820
W 5.264 -13.711 2.871
W 0.788 -8.009 1.368
Lu 3.849 -8.401 1.885
Lu 6.749 -11.064 3.686
Lu -4.262 -7.718 -1.498
Lu -1.362 -10.381 0.303
Lu 0.100 -13.411 0.216
Lu 2.387 -5.371 1.972
Lu 3.100 -16.082 1.830
Lu -0.614 -2.700 0.358
```

***

- uncorrected energy of number 1 (Dy3Mg2CdIn3)?
  -3.296 eV/atom

***

Repeat the third record exactly.
A geometry-optimized Lu4Co3W2C3 structure, computed with PBE.

## Properties
The total moment is 5.4 Bohr magnetons per cell. The value obtained for the uncorrected energy is -7.606 eV/atom.

The structure in extended XYZ format:
```
24
Lattice="-4.073 -3.618 1.154 -1.423 -3.841 -3.773 7.983 -11.323 4.807" Properties=species:S:1:pos:R:3 pbc="T T T"
Co -1.659 -8.472 -1.591
Co 2.156 -12.131 4.310
Co 0.331 -6.651 -2.122
Co 1.431 -14.058 2.488
Co 1.056 -4.724 -0.300
Co 4.146 -10.310 3.779
C -2.930 -3.123 -0.014
C 1.955 -7.471 2.980
C -2.566 -4.335 -2.604
C 2.244 -8.883 0.189
C -0.712 -1.920 -1.886
C 0.243 -9.898 1.999
W -2.777 -5.070 -0.683
W 1.698 -10.773 0.820
W 5.264 -13.711 2.871
W 0.788 -8.009 1.368
Lu 3.849 -8.401 1.885
Lu 6.749 -11.064 3.686
Lu -4.262 -7.718 -1.498
Lu -1.362 -10.381 0.303
Lu 0.100 -13.411 0.216
Lu 2.387 -5.371 1.972
Lu 3.100 -16.082 1.830
Lu -0.614 -2.700 0.358
```

***

- Which value of total moment does entry 2 give?
  0.0 Bohr magnetons per cell

***

- Which value of uncorrected energy does entry 3 give?
  -7.606 eV/atom